(1)
Compound: TaVSi2
Source: the Alexandria database
Functional: GGA-PBE
Structure: relaxed

Values from the calculation:
* raw formation energy: -12 kJ/mol of formula units
* relative energy among the computed polymorphs: 123.5 meV per atom
* M_tot: 0.00 μB per atom
* VASP energy: -7.99 eV per atom

Lattice parameters (Å, degrees): 3.588 3.588 17.011 90.00 90.00 120.00
Fractional coordinates of all 12 atoms:
Ta1 0.000 0.000 0.000
Ta2 0.333 0.667 0.667
Ta3 0.667 0.333 0.333
V1 0.000 0.000 0.500
V2 0.333 0.667 0.167
V3 0.667 0.333 0.833
Si1 0.000 0.000 0.243
Si2 0.000 0.000 0.757
Si3 0.333 0.667 0.423
Si4 0.333 0.667 0.910
Si5 0.667 0.333 0.090
Si6 0.667 0.333 0.577

=====

(2)
Compound: TaV2Si
Source: the Alexandria database
Functional: GGA-PBE
Structure: relaxed

Values from the calculation:
* raw formation energy: -53 kJ/mol of formula units
* M_tot: 0.00 μB per atom
* VASP energy: -9.02 eV per atom

Lattice parameters (Å, degrees): 9.538 9.538 9.538 160.60 123.20 60.60
Fractional coordinates of all 16 atoms:
Ta1 0.182 0.182 0.000
Ta2 0.278 0.000 0.278
Ta3 0.722 0.000 0.722
Ta4 0.818 0.818 0.000
V1 0.056 0.556 0.500
V2 0.135 0.788 0.346
V3 0.397 0.397 0.000
V4 0.442 0.788 0.654
V5 0.558 0.212 0.346
V6 0.603 0.603 0.000
V7 0.865 0.212 0.654
V8 0.944 0.444 0.500
Si1 0.095 0.370 0.725
Si2 0.355 0.630 0.725
Si3 0.645 0.370 0.275
Si4 0.905 0.630 0.275

=====

(3)
Compound: Ta2V3Si
Source: the Alexandria database
Functional: GGA-PBE
Structure: relaxed

Values from the calculation:
* raw formation energy: -196 kJ/mol of formula units
* relative energy among the computed polymorphs: 0.0 meV per atom
* M_tot: 0.00 μB per atom
* VASP energy: -9.75 eV per atom

Lattice parameters (Å, degrees): 4.945 4.945 8.374 90.00 90.00 120.00
Fractional coordinates of all 12 atoms:
Ta1 0.333 0.667 0.062
Ta2 0.333 0.667 0.438
Ta3 0.667 0.333 0.562
Ta4 0.667 0.333 0.938
V1 0.171 0.341 0.750
V2 0.171 0.829 0.750
V3 0.341 0.171 0.250
V4 0.659 0.829 0.750
V5 0.829 0.171 0.250
V6 0.829 0.659 0.250
Si1 0.000 0.000 0.000
Si2 0.000 0.000 0.500

=====

(4)
Compound: TaVSi2
Source: the Alexandria database
Functional: GGA-PBE
Structure: relaxed

Values from the calculation:
* raw formation energy: -23 kJ/mol of formula units
* relative energy among the computed polymorphs: 96.1 meV per atom
* M_tot: 0.07 μB per atom
* VASP energy: -8.01 eV per atom

Lattice parameters (Å, degrees): 6.157 6.157 6.157 90.00 90.00 90.00
Fractional coordinates of all 16 atoms:
Ta1 0.000 0.000 0.000
Ta2 0.000 0.500 0.500
Ta3 0.500 0.000 0.500
Ta4 0.500 0.500 0.000
V1 0.000 0.000 0.500
V2 0.000 0.500 0.000
V3 0.500 0.000 0.000
V4 0.500 0.500 0.500
Si1 0.250 0.250 0.250
Si2 0.250 0.250 0.750
Si3 0.250 0.750 0.250
Si4 0.250 0.750 0.750
Si5 0.750 0.250 0.250
Si6 0.750 0.250 0.750
Si7 0.750 0.750 0.250
Si8 0.750 0.750 0.750

=====

(5)
Compound: Ta2V4Si5
Source: the Alexandria database
Functional: GGA-PBE
Structure: relaxed

Values from the calculation:
* raw formation energy: -414 kJ/mol of formula units
* M_tot: 0.04 μB per atom
* VASP energy: -8.33 eV per atom

Lattice parameters (Å, degrees): 9.365 9.365 9.365 132.48 58.37 148.11
Fractional coordinates of all 22 atoms:
Ta1 0.061 0.250 0.811
Ta2 0.439 0.250 0.189
Ta3 0.561 0.750 0.811
Ta4 0.939 0.750 0.189
V1 0.065 0.248 0.313
V2 0.144 0.618 0.762
V3 0.356 0.118 0.474
V4 0.435 0.748 0.183
V5 0.565 0.252 0.817
V6 0.644 0.882 0.526
V7 0.856 0.382 0.238
V8 0.935 0.752 0.687
Si1 0.060 0.906 0.966
Si2 0.209 0.304 0.513
Si3 0.250 0.750 0.500
Si4 0.291 0.804 0.095
Si5 0.440 0.406 0.846
Si6 0.560 0.594 0.154
Si7 0.709 0.196 0.905
Si8 0.750 0.250 0.500
Si9 0.791 0.696 0.487
Si10 0.940 0.094 0.034

=====

(6)
Compound: TaV6Si8
Source: the Alexandria database
Functional: GGA-PBE
Structure: relaxed

Values from the calculation:
* raw formation energy: -543 kJ/mol of formula units
* M_tot: 0.00 μB per atom
* VASP energy: -7.70 eV per atom

Lattice parameters (Å, degrees): 6.411 6.411 6.411 66.58 66.58 66.58
Fractional coordinates of all 15 atoms:
Ta1 0.000 0.000 0.000
V1 0.146 0.406 0.661
V2 0.339 0.854 0.594
V3 0.406 0.661 0.146
V4 0.594 0.339 0.854
V5 0.661 0.146 0.406
V6 0.854 0.594 0.339
Si1 0.055 0.839 0.424
Si2 0.161 0.576 0.945
Si3 0.289 0.289 0.289
Si4 0.424 0.055 0.839
Si5 0.576 0.945 0.161
Si6 0.711 0.711 0.711
Si7 0.839 0.424 0.055
Si8 0.945 0.161 0.576

=====

(7)
Compound: Ta2V3Si
Source: the Alexandria database
Functional: GGA-PBE
Structure: relaxed

Values from the calculation:
* raw formation energy: -191 kJ/mol of formula units
* relative energy among the computed polymorphs: 8.9 meV per atom
* M_tot: 0.00 μB per atom
* VASP energy: -9.74 eV per atom

Lattice parameters (Å, degrees): 8.547 4.951 5.080 90.00 124.20 90.00
Fractional coordinates of all 12 atoms:
Ta1 0.125 0.000 0.376
Ta2 0.375 0.500 0.624
Ta3 0.625 0.500 0.376
Ta4 0.875 0.000 0.624
V1 0.000 0.500 0.000
V2 0.250 0.250 0.000
V3 0.250 0.750 0.000
V4 0.500 0.000 0.000
V5 0.750 0.250 0.000
V6 0.750 0.750 0.000
Si1 0.000 0.500 0.500
Si2 0.500 0.000 0.500

=====

(8)
Compound: TaVSi3
Source: the Alexandria database
Functional: GGA-PBE
Structure: relaxed

Values from the calculation:
* raw formation energy: 481 kJ/mol of formula units
* relative energy among the computed polymorphs: 127.9 meV per atom
* M_tot: 0.67 μB per atom
* VASP energy: -6.45 eV per atom

Lattice parameters (Å, degrees): 4.823 4.823 4.823 90.00 90.00 90.00
Fractional coordinates of all 5 atoms:
Ta1 0.000 0.000 0.000
V1 0.500 0.500 0.500
Si1 0.000 0.000 0.500
Si2 0.000 0.500 0.000
Si3 0.500 0.000 0.000

=====

(9)
Compound: ZrTa2VSi
Source: the Alexandria database
Functional: GGA-PBE
Structure: relaxed

Values from the calculation:
* raw formation energy: 906 kJ/mol of formula units
* M_tot: 0.55 μB per atom
* VASP energy: -7.48 eV per atom

Lattice parameters (Å, degrees): 4.939 4.939 4.899 90.00 90.00 90.00
Fractional coordinates of all 5 atoms:
Zr1 0.000 0.000 0.000
Ta1 0.000 0.500 0.000
Ta2 0.500 0.000 0.000
V1 0.500 0.500 0.500
Si1 0.000 0.000 0.500

=====

(10)
Compound: Ta2Si6W
Source: the Alexandria database
Functional: GGA-PBE
Structure: relaxed

Values from the calculation:
* raw formation energy: -357 kJ/mol of formula units
* M_tot: 0.00 μB per atom
* VASP energy: -8.10 eV per atom

Lattice parameters (Å, degrees): 4.769 4.769 6.562 90.00 90.00 120.45
Fractional coordinates of all 9 atoms:
Ta1 0.000 0.500 0.166
Ta2 0.500 0.000 0.834
Si1 0.181 0.339 0.832
Si2 0.339 0.181 0.168
Si3 0.340 0.660 0.500
Si4 0.660 0.340 0.500
Si5 0.661 0.819 0.168
Si6 0.819 0.661 0.832
W1 0.000 0.000 0.500

=====

(11)
Compound: TaSiW2
Source: the Alexandria database
Functional: GGA-PBE
Structure: relaxed

Values from the calculation:
* raw formation energy: 13 kJ/mol of formula units
* M_tot: 0.00 μB per atom
* VASP energy: -10.76 eV per atom

Lattice parameters (Å, degrees): 3.464 4.269 4.277 90.00 90.00 90.00
Fractional coordinates of all 4 atoms:
Ta1 0.000 0.000 0.000
Si1 0.500 0.000 0.500
W1 0.000 0.500 0.500
W2 0.500 0.500 0.000

=====

(12)
Compound: TaSiW2
Source: the Alexandria database
Functional: GGA-PBE
Structure: relaxed

Values from the calculation:
* raw formation energy: 81 kJ/mol of formula units
* M_tot: 0.00 μB per atom
* VASP energy: -10.58 eV per atom

Lattice parameters (Å, degrees): 2.821 2.821 7.980 90.00 90.00 90.00
Fractional coordinates of all 4 atoms:
Ta1 0.000 0.000 0.000
Si1 0.000 0.000 0.500
W1 0.500 0.500 0.283
W2 0.500 0.500 0.717

=====

(13)
Compound: TaSi2W
Source: the Alexandria database
Functional: GGA-PBE
Structure: relaxed

Values from the calculation:
* raw formation energy: -13 kJ/mol of formula units
* relative energy among the computed polymorphs: 263.1 meV per atom
* M_tot: 0.00 μB per atom
* VASP energy: -8.95 eV per atom

Lattice parameters (Å, degrees): 3.081 3.081 6.316 90.00 90.00 90.00
Fractional coordinates of all 4 atoms:
Ta1 0.000 0.000 0.000
Si1 0.500 0.500 0.273
Si2 0.500 0.500 0.727
W1 0.000 0.000 0.500

=====

(14)
Compound: TaSi2W
Source: the Alexandria database
Functional: GGA-PBE
Structure: relaxed

Values from the calculation:
* raw formation energy: 67 kJ/mol of formula units
* relative energy among the computed polymorphs: 472.1 meV per atom
* M_tot: 0.00 μB per atom
* VASP energy: -8.74 eV per atom

Lattice parameters (Å, degrees): 6.249 6.249 6.249 90.00 90.00 90.00
Fractional coordinates of all 16 atoms:
Ta1 0.000 0.000 0.000
Ta2 0.000 0.500 0.500
Ta3 0.500 0.000 0.500
Ta4 0.500 0.500 0.000
Si1 0.000 0.000 0.500
Si2 0.000 0.500 0.000
Si3 0.250 0.250 0.750
Si4 0.250 0.750 0.250
Si5 0.500 0.000 0.000
Si6 0.500 0.500 0.500
Si7 0.750 0.250 0.250
Si8 0.750 0.750 0.750
W1 0.250 0.250 0.250
W2 0.250 0.750 0.750
W3 0.750 0.250 0.750
W4 0.750 0.750 0.250

=====

(15)
Compound: TaSi2W2
Source: the Alexandria database
Functional: GGA-PBE
Structure: relaxed

Values from the calculation:
* raw formation energy: -73 kJ/mol of formula units
* M_tot: 0.00 μB per atom
* VASP energy: -9.87 eV per atom

Lattice parameters (Å, degrees): 6.785 6.785 3.266 90.00 90.00 90.00
Fractional coordinates of all 10 atoms:
Ta1 0.000 0.000 0.000
Ta2 0.500 0.500 0.000
Si1 0.135 0.365 0.000
Si2 0.365 0.865 0.000
Si3 0.635 0.135 0.000
Si4 0.865 0.635 0.000
W1 0.157 0.657 0.500
W2 0.343 0.157 0.500
W3 0.657 0.843 0.500
W4 0.843 0.343 0.500

=====

(16)
Compound: TaSi4W
Source: the Alexandria database
Functional: GGA-PBE
Structure: relaxed

Values from the calculation:
* raw formation energy: -222 kJ/mol of formula units
* relative energy among the computed polymorphs: 0.0 meV per atom
* M_tot: 0.00 μB per atom
* VASP energy: -8.13 eV per atom

Lattice parameters (Å, degrees): 8.653 3.256 6.523 90.00 112.03 90.00
Fractional coordinates of all 12 atoms:
Ta1 0.000 0.000 0.000
Ta2 0.500 0.500 0.000
Si1 0.166 0.500 0.337
Si2 0.166 0.500 0.829
Si3 0.334 0.000 0.171
Si4 0.334 0.000 0.663
Si5 0.666 0.000 0.337
Si6 0.666 0.000 0.829
Si7 0.834 0.500 0.171
Si8 0.834 0.500 0.663
W1 0.000 0.000 0.500
W2 0.500 0.500 0.500

=====

(17)
Compound: TaSiW2
Source: the Alexandria database
Functional: GGA-PBE
Structure: relaxed

Values from the calculation:
* raw formation energy: 9 kJ/mol of formula units
* M_tot: 0.00 μB per atom
* VASP energy: -10.77 eV per atom

Lattice parameters (Å, degrees): 2.813 4.482 5.196 90.00 101.24 90.00
Fractional coordinates of all 4 atoms:
Ta1 0.000 0.000 0.000
Si1 0.450 0.500 0.772
W1 0.481 0.000 0.501
W2 0.752 0.500 0.284

=====

(18)
Compound: TaSiW2
Source: the Alexandria database
Functional: GGA-PBE
Structure: relaxed

Values from the calculation:
* raw formation energy: 104 kJ/mol of formula units
* M_tot: 0.00 μB per atom
* VASP energy: -10.53 eV per atom

Lattice parameters (Å, degrees): 2.839 2.839 27.743 90.00 90.00 120.00
Fractional coordinates of all 12 atoms:
Ta1 0.000 0.000 0.000
Ta2 0.333 0.667 0.667
Ta3 0.667 0.333 0.333
Si1 0.000 0.000 0.500
Si2 0.333 0.667 0.167
Si3 0.667 0.333 0.833
W1 0.000 0.000 0.243
W2 0.000 0.000 0.757
W3 0.333 0.667 0.424
W4 0.333 0.667 0.910
W5 0.667 0.333 0.090
W6 0.667 0.333 0.576

=====

(19)
Compound: TaSi2W
Source: the Alexandria database
Functional: GGA-PBE
Structure: relaxed

Values from the calculation:
* raw formation energy: -7 kJ/mol of formula units
* relative energy among the computed polymorphs: 278.9 meV per atom
* M_tot: 0.00 μB per atom
* VASP energy: -8.93 eV per atom

Lattice parameters (Å, degrees): 3.806 3.806 8.282 90.00 90.00 90.00
Fractional coordinates of all 8 atoms:
Ta1 0.000 0.000 0.000
Ta2 0.500 0.500 0.500
Si1 0.000 0.000 0.500
Si2 0.000 0.500 0.250
Si3 0.500 0.000 0.750
Si4 0.500 0.500 0.000
W1 0.000 0.500 0.750
W2 0.500 0.000 0.250

=====

(20)
Compound: TaSiW2
Source: the Alexandria database
Functional: GGA-PBE
Structure: relaxed

Values from the calculation:
* raw formation energy: -15 kJ/mol of formula units
* M_tot: 0.00 μB per atom
* VASP energy: -10.84 eV per atom

Lattice parameters (Å, degrees): 3.295 4.433 8.645 90.00 90.00 90.00
Fractional coordinates of all 8 atoms:
Ta1 0.000 0.000 0.000
Ta2 0.500 0.500 0.500
Si1 0.000 0.500 0.242
Si2 0.500 0.000 0.742
W1 0.000 0.000 0.498
W2 0.000 0.500 0.754
W3 0.500 0.000 0.254
W4 0.500 0.500 0.998

=====

(21)
Compound: Ta2SiW
Source: the Alexandria database
Functional: GGA-PBE
Structure: relaxed

Values from the calculation:
* raw formation energy: -51 kJ/mol of formula units
* M_tot: 0.00 μB per atom
* VASP energy: -10.65 eV per atom

Lattice parameters (Å, degrees): 3.360 4.635 8.455 90.00 90.00 90.00
Fractional coordinates of all 8 atoms:
Ta1 0.000 0.000 0.000
Ta2 0.000 0.500 0.277
Ta3 0.500 0.000 0.277
Ta4 0.500 0.500 0.000
Si1 0.000 0.500 0.766
Si2 0.500 0.000 0.766
W1 0.000 0.000 0.541
W2 0.500 0.500 0.541

=====

(22)
Compound: TaSiW2
Source: the Alexandria database
Functional: GGA-PBE
Structure: relaxed

Values from the calculation:
* raw formation energy: 69 kJ/mol of formula units
* M_tot: 0.00 μB per atom
* VASP energy: -10.62 eV per atom

Lattice parameters (Å, degrees): 2.783 2.783 8.214 90.00 90.00 90.00
Fractional coordinates of all 4 atoms:
Ta1 0.000 0.000 0.000
Si1 0.500 0.500 0.765
W1 0.000 0.000 0.545
W2 0.500 0.500 0.279

=====

(23)
Compound: TaSiW2
Source: the Alexandria database
Functional: GGA-PBE
Structure: relaxed

Values from the calculation:
* raw formation energy: -26 kJ/mol of formula units
* M_tot: 0.00 μB per atom
* VASP energy: -10.86 eV per atom

Lattice parameters (Å, degrees): 3.293 4.559 8.466 90.00 90.00 90.00
Fractional coordinates of all 8 atoms:
Ta1 0.000 0.000 0.000
Ta2 0.500 0.500 0.000
Si1 0.000 0.500 0.760
Si2 0.500 0.000 0.760
W1 0.000 0.000 0.528
W2 0.000 0.500 0.270
W3 0.500 0.000 0.270
W4 0.500 0.500 0.528

=====

(24)
Compound: Ta2SiW
Source: the Alexandria database
Functional: GGA-PBE
Structure: relaxed

Values from the calculation:
* raw formation energy: -3 kJ/mol of formula units
* M_tot: 0.00 μB per atom
* VASP energy: -10.53 eV per atom

Lattice parameters (Å, degrees): 2.811 4.519 5.286 90.00 100.46 90.00
Fractional coordinates of all 4 atoms:
Ta1 0.241 0.000 0.247
Ta2 0.759 0.000 0.753
Si1 0.000 0.500 0.500
W1 0.500 0.500 0.000

=====

(25)
Compound: TaSi2W
Source: the Alexandria database
Functional: GGA-PBE
Structure: relaxed

Values from the calculation:
* raw formation energy: -14 kJ/mol of formula units
* relative energy among the computed polymorphs: 262.6 meV per atom
* M_tot: 0.00 μB per atom
* VASP energy: -8.95 eV per atom

Lattice parameters (Å, degrees): 2.873 3.928 5.499 90.00 101.09 90.00
Fractional coordinates of all 4 atoms:
Ta1 0.000 0.000 0.000
Si1 0.299 0.500 0.749
Si2 0.701 0.500 0.251
W1 0.500 0.000 0.500

=====

(26)
Compound: TaSiW2
Source: the Alexandria database
Functional: GGA-PBE
Structure: relaxed

Values from the calculation:
* raw formation energy: 27 kJ/mol of formula units
* M_tot: 0.00 μB per atom
* VASP energy: -10.72 eV per atom

Lattice parameters (Å, degrees): 2.763 4.478 5.252 90.00 101.55 90.00
Fractional coordinates of all 4 atoms:
Ta1 0.000 0.000 0.000
Si1 0.500 0.000 0.500
W1 0.244 0.500 0.744
W2 0.756 0.500 0.256